# 1
The following is a PBE-GGA calculation of a relaxed Tl16ZnIn12 crystal, from Alexandria via LeMat-Bulk.

Lattice parameters (Å, degrees): 10.338 10.338 10.260 109.00 109.00 109.73
Sites, in units of the cell vectors:
Tl 0.679 0.006 0.400
Tl 0.402 0.671 0.006
Tl 0.323 0.706 0.312
Tl 0.999 0.999 0.001
Tl 0.376 0.376 0.345
Tl 0.006 0.679 0.400
Tl 0.601 0.293 0.603
Tl 0.000 0.000 0.638
Tl 0.995 0.636 0.001
Tl 0.293 0.601 0.603
Tl 0.671 0.402 0.006
Tl 0.997 0.395 0.675
Tl 0.706 0.323 0.312
Tl 0.395 0.997 0.675
Tl 0.636 0.995 0.001
Tl 0.320 0.320 0.708
In 0.178 0.357 0.988
In 0.182 0.804 0.813
In 0.633 0.821 0.628
In 0.804 0.182 0.813
In 0.365 0.999 0.187
In 0.995 0.178 0.362
In 0.821 0.633 0.628
In 0.645 0.645 0.829
In 0.357 0.178 0.988
In 0.178 0.995 0.362
In 0.999 0.365 0.187
In 0.796 0.796 0.192
Zn 0.645 0.645 0.334

Values from the calculation:
- Total energy: -2.46 eV per atom
- DOS at the Fermi energy: 12.546 states/eV/f.u.
- Formation energy: 24 meV per atom
- Space group: No. 8
- V: 851.3 Å³/f.u.

---

# 2
The following is a PBE-GGA calculation of a relaxed Tb2Sm2ErMg5 crystal, from Alexandria via LeMat-Bulk.

Lattice parameters (Å, degrees): 5.075 10.596 10.596 90.00 90.00 90.00
Sites, in units of the cell vectors:
Mg 0.500 0.000 0.500
Mg 0.500 0.303 0.568
Mg 0.500 0.500 0.000
Mg 0.500 0.932 0.197
Mg 0.500 0.803 0.932
Mg 0.500 0.197 0.068
Mg 0.500 0.432 0.303
Mg 0.500 0.697 0.432
Mg 0.500 0.068 0.803
Mg 0.500 0.568 0.697
Sm 0.000 0.177 0.323
Sm 0.000 0.677 0.177
Sm 0.000 0.823 0.677
Sm 0.000 0.323 0.823
Tb 0.000 0.620 0.880
Tb 0.000 0.880 0.380
Tb 0.000 0.120 0.620
Tb 0.000 0.380 0.120
Er 0.000 0.000 0.000
Er 0.000 0.500 0.500

Values from the calculation:
- Total energy: -3.07 eV per atom
- DOS at the Fermi energy: 6.696 states/eV/f.u.
- Formation energy: 52 meV per atom
- Space group: No. 127
- V: 284.9 Å³/f.u.

---

# 3
The following is a PBE-GGA calculation of a relaxed Na2C2O5 crystal, from Alexandria via LeMat-Bulk.

Lattice parameters (Å, degrees): 3.470 7.387 5.412 111.35 90.00 103.58
Sites, in units of the cell vectors:
Na 0.670 0.340 0.703
Na 0.330 0.660 0.297
O 0.000 0.000 0.000
O 0.867 0.733 0.612
O 0.156 0.312 0.996
O 0.844 0.688 0.004
O 0.133 0.267 0.388
C 0.103 0.206 0.138
C 0.897 0.794 0.862

Values from the calculation:
- Total energy: -6.59 eV per atom
- DOS at the Fermi energy: 0.000 states/eV/f.u.
- Uncorrected formation energy: -1.492 eV per atom
- Space group: No. 12
- V: 125.0 Å³/f.u.

---

# 4
The following is a PBE-GGA calculation of a relaxed Ho4Er3 crystal, from Alexandria via LeMat-Bulk.

Lattice parameters (Å, degrees): 4.960 7.842 6.072 97.44 114.10 90.00
Sites, in units of the cell vectors:
Er 0.571 0.714 0.143
Er 0.000 0.000 0.000
Er 0.429 0.286 0.857
Ho 0.714 0.143 0.429
Ho 0.143 0.428 0.286
Ho 0.857 0.572 0.714
Ho 0.286 0.857 0.571

Values from the calculation:
- Total energy: -4.55 eV per atom
- DOS at the Fermi energy: 9.409 states/eV/f.u.
- Formation energy: 22 meV per atom
- Space group: No. 12
- V: 213.4 Å³/f.u.

---

# 5
The following is a PBE-GGA calculation of a relaxed NbSiMo2Rh crystal, from Alexandria via LeMat-Bulk.

Lattice parameters (Å, degrees): 4.502 4.292 4.502 90.00 90.00 90.00
Sites, in units of the cell vectors:
Nb 0.500 0.500 0.500
Si 0.000 0.000 0.000
Mo 0.500 0.000 0.000
Mo 0.000 0.000 0.500
Rh 0.000 0.500 0.000

Values from the calculation:
- Total energy: -8.39 eV per atom
- DOS at the Fermi energy: 3.645 states/eV/f.u.
- Uncorrected formation energy: 0.507 eV per atom
- Space group: No. 123
- V: 87.0 Å³/f.u.

---

# 6
The following is a PBE-GGA calculation of a relaxed CdIn2SnHg2 crystal, from Alexandria via LeMat-Bulk.

Lattice parameters (Å, degrees): 4.705 6.580 10.037 90.00 90.00 90.00
Sites, in units of the cell vectors:
Hg 0.500 0.656 0.659
Hg 0.000 0.862 0.153
Hg 0.000 0.362 0.847
Hg 0.500 0.156 0.341
In 0.500 0.608 0.993
In 0.000 0.367 0.184
In 0.500 0.108 0.007
In 0.000 0.867 0.816
Sn 0.000 0.403 0.524
Sn 0.000 0.903 0.476
Cd 0.500 0.649 0.323
Cd 0.500 0.149 0.677

Values from the calculation:
- Total energy: -1.80 eV per atom
- DOS at the Fermi energy: 2.371 states/eV/f.u.
- Formation energy: 35 meV per atom
- Space group: No. 26
- V: 155.4 Å³/f.u.

---

# 7
The following is a PBE-GGA calculation of a relaxed Mn3CN crystal, from Alexandria via LeMat-Bulk.

Lattice parameters (Å, degrees): 3.673 3.673 3.673 90.00 90.00 90.00
Each line ends with the local moment (μB).
Sites, in units of the cell vectors:
C 0.500 0.500 0.500  -0.11
Mn 0.000 0.000 0.500  1.52
Mn 0.000 0.500 0.000  1.22
Mn 0.500 0.000 0.000  1.16
N 0.000 0.000 0.000  -0.09

Values from the calculation:
- Total energy: -8.30 eV per atom
- DOS at the Fermi energy: 2.719 states/eV/f.u.
- Uncorrected formation energy: 0.709 eV per atom
- Space group: No. 221
- V: 49.6 Å³/f.u.

---

# 8
The following is a PBE-GGA calculation of a relaxed Mg3CdCl crystal, from Alexandria via LeMat-Bulk.

Lattice parameters (Å, degrees): 5.334 5.334 5.334 90.00 90.00 90.00
Sites, in units of the cell vectors:
Cd 0.000 0.000 0.000
Mg 0.000 0.000 0.500
Mg 0.500 0.000 0.000
Mg 0.000 0.500 0.000
Cl 0.500 0.500 0.500

Values from the calculation:
- Total energy: -1.56 eV per atom
- DOS at the Fermi energy: 2.743 states/eV/f.u.
- Uncorrected formation energy: -0.050 eV per atom
- Space group: No. 221
- V: 151.8 Å³/f.u.

---

# 9
The following is a PBE-GGA calculation of a relaxed Tb3DyPd12 crystal, from Alexandria via LeMat-Bulk.

Lattice parameters (Å, degrees): 4.122 4.122 16.600 90.00 90.00 90.00
Sites, in units of the cell vectors:
Pd 0.500 0.500 0.250
Pd 0.500 0.500 0.500
Pd 0.500 0.000 0.876
Pd 0.500 0.000 0.375
Pd 0.000 0.500 0.375
Pd 0.500 0.500 0.750
Pd 0.500 0.500 0.000
Pd 0.000 0.500 0.625
Pd 0.500 0.000 0.124
Pd 0.000 0.500 0.876
Pd 0.000 0.500 0.124
Pd 0.500 0.000 0.625
Dy 0.000 0.000 0.000
Tb 0.000 0.000 0.750
Tb 0.000 0.000 0.500
Tb 0.000 0.000 0.250

Values from the calculation:
- Total energy: -5.92 eV per atom
- DOS at the Fermi energy: 11.620 states/eV/f.u.
- Formation energy: -869 meV per atom
- Space group: No. 123
- V: 282.0 Å³/f.u.

---

# 10
The following is a PBE-GGA calculation of a relaxed TlHgCl2F crystal, from Alexandria via LeMat-Bulk.

Lattice parameters (Å, degrees): 5.384 5.384 4.547 90.00 90.00 90.00
Sites, in units of the cell vectors:
Cl 0.000 0.500 0.000
Cl 0.500 0.000 0.000
Hg 0.000 0.000 0.000
Tl 0.500 0.500 0.500
F 0.000 0.000 0.500

Values from the calculation:
- Total energy: -2.64 eV per atom
- DOS at the Fermi energy: 0.677 states/eV/f.u.
- Uncorrected formation energy: -0.992 eV per atom
- Space group: No. 123
- V: 131.8 Å³/f.u.

---

# 11
The following is a PBE-GGA calculation of a relaxed LiVP2Cl crystal, from Alexandria via LeMat-Bulk.

Lattice parameters (Å, degrees): 4.244 4.244 4.673 90.00 90.00 90.00
Each line ends with the local moment (μB).
Sites, in units of the cell vectors:
P 0.500 0.000 0.000  0.00
P 0.000 0.500 0.000  0.00
Cl 0.000 0.000 0.500  -0.01
Li 0.000 0.000 0.000  0.01
V 0.500 0.500 0.500  0.11

Values from the calculation:
- Total energy: -3.98 eV per atom
- DOS at the Fermi energy: 6.741 states/eV/f.u.
- Uncorrected formation energy: 0.755 eV per atom
- Space group: No. 123
- V: 84.2 Å³/f.u.

---

# 12
The following is a PBE-GGA calculation of a relaxed SbRuCl2 crystal, from Alexandria via LeMat-Bulk.

Lattice parameters (Å, degrees): 9.519 9.519 9.519 19.51 19.51 19.51
Each line ends with the local moment (μB).
Sites, in units of the cell vectors:
Ru 0.000 0.000 0.000  1.34
Cl 0.081 0.081 0.081  0.06
Cl 0.919 0.919 0.919  0.06
Sb 0.500 0.500 0.500  -0.02

Values from the calculation:
- Total energy: -4.00 eV per atom
- DOS at the Fermi energy: 2.977 states/eV/f.u.
- Uncorrected formation energy: 0.276 eV per atom
- Space group: No. 166
- V: 84.2 Å³/f.u.

---

# 13
The following is a PBE-GGA calculation of a relaxed TlTe2Os crystal, from Alexandria via LeMat-Bulk.

Lattice parameters (Å, degrees): 3.284 3.284 9.289 90.00 90.00 89.94
Sites, in units of the cell vectors:
Te 0.000 0.000 0.571
Te 0.000 0.000 0.929
Tl 0.500 0.500 0.250
Os 0.500 0.500 0.750

Values from the calculation:
- Total energy: -4.59 eV per atom
- DOS at the Fermi energy: 3.534 states/eV/f.u.
- Uncorrected formation energy: 0.383 eV per atom
- Space group: No. 123
- V: 100.2 Å³/f.u.

---

# 14
The following is a PBE-GGA calculation of a relaxed AlCoOsPt2 crystal, from Alexandria via LeMat-Bulk.

Lattice parameters (Å, degrees): 4.836 4.626 4.836 90.00 90.00 90.00
Each line ends with the local moment (μB).
Sites, in units of the cell vectors:
Co 0.500 0.500 0.500  2.11
Al 0.000 0.500 0.000  0.00
Pt 0.500 0.000 0.000  0.10
Pt 0.000 0.000 0.500  0.15
Os 0.000 0.000 0.000  0.17

Values from the calculation:
- Total energy: -5.51 eV per atom
- DOS at the Fermi energy: 7.527 states/eV/f.u.
- Formation energy: 1319 meV per atom
- Space group: No. 123
- V: 108.2 Å³/f.u.

---

# 15
The following is a PBE-GGA calculation of a relaxed CaZnCd2 crystal, from Alexandria via LeMat-Bulk.

Lattice parameters (Å, degrees): 3.574 3.575 7.378 90.00 90.00 90.00
Sites, in units of the cell vectors:
Zn 0.000 0.000 0.473
Cd 0.500 0.500 0.271
Cd 0.000 0.000 0.025
Ca 0.500 0.500 0.732

Values from the calculation:
- Total energy: -1.43 eV per atom
- DOS at the Fermi energy: 1.393 states/eV/f.u.
- Formation energy: -153 meV per atom
- Space group: No. 99
- V: 94.3 Å³/f.u.

---

# 16
The following is a PBE-GGA calculation of a relaxed Mn2Cr2B crystal, from Alexandria via LeMat-Bulk.

Lattice parameters (Å, degrees): 2.941 2.941 6.817 77.54 77.54 90.00
Sites, in units of the cell vectors:
B 0.000 0.000 0.000
Mn 0.250 0.750 0.500
Mn 0.750 0.250 0.500
Cr 0.417 0.417 0.167
Cr 0.583 0.583 0.833

Values from the calculation:
- Total energy: -8.22 eV per atom
- DOS at the Fermi energy: 4.238 states/eV/f.u.
- Formation energy: 635 meV per atom
- Space group: No. 139
- V: 56.1 Å³/f.u.

---

# 17
The following is a PBE-GGA calculation of a relaxed Pm2PuCo9 crystal, from Alexandria via LeMat-Bulk.

Lattice parameters (Å, degrees): 4.986 4.986 8.753 73.45 73.45 60.00
Each line ends with the local moment (μB).
Sites, in units of the cell vectors:
Pm 0.861 0.861 0.417  -0.23
Pm 0.139 0.139 0.583  -0.23
Co 0.500 0.500 0.500  1.12
Co 0.667 0.667 0.000  1.21
Co 0.421 0.421 0.238  1.24
Co 0.579 0.080 0.762  1.24
Co 0.579 0.579 0.762  1.24
Co 0.421 0.920 0.238  1.24
Co 0.920 0.421 0.238  1.24
Co 0.080 0.579 0.762  1.24
Co 0.333 0.333 0.000  1.21
Pu 0.000 0.000 0.000  4.64

Values from the calculation:
- Total energy: -7.30 eV per atom
- DOS at the Fermi energy: 32.773 states/eV/f.u.
- Formation energy: 12 meV per atom
- Space group: No. 166
- V: 178.0 Å³/f.u.

---

# 18
The following is a PBE-GGA calculation of a relaxed Li2CuICl2 crystal, from Alexandria via LeMat-Bulk.

Lattice parameters (Å, degrees): 6.739 7.060 6.966 120.45 90.00 90.00
Sites, in units of the cell vectors:
Cu 0.205 0.182 0.000
Cu 0.705 0.818 0.000
Cl 0.809 0.833 0.336
Cl 0.809 0.497 0.664
Cl 0.309 0.503 0.336
Cl 0.309 0.167 0.664
I 0.820 0.170 0.000
I 0.320 0.830 0.000
Li 0.165 0.458 0.627
Li 0.665 0.542 0.373
Li 0.665 0.168 0.627
Li 0.165 0.832 0.373

Values from the calculation:
- Total energy: -3.38 eV per atom
- DOS at the Fermi energy: 0.000 states/eV/f.u.
- Uncorrected formation energy: -1.188 eV per atom
- Space group: No. 36
- V: 142.9 Å³/f.u.

---

# 19
The following is a PBE-GGA calculation of a relaxed GdSnIrPd crystal, from Alexandria via LeMat-Bulk.

Lattice parameters (Å, degrees): 4.789 4.789 4.789 60.00 60.00 60.00
Each line ends with the local moment (μB).
Sites, in units of the cell vectors:
Pd 0.250 0.250 0.250  0.01
Sn 0.000 0.000 0.000  0.00
Gd 0.500 0.500 0.500  6.98
Ir 0.750 0.750 0.750  0.02

Values from the calculation:
- Total energy: -8.68 eV per atom
- DOS at the Fermi energy: 2.844 states/eV/f.u.
- Formation energy: -644 meV per atom
- Space group: No. 216
- V: 77.7 Å³/f.u.

---

# 20
The following is a PBE-GGA calculation of a relaxed Tm4AlSb2 crystal, from Alexandria via LeMat-Bulk.

Lattice parameters (Å, degrees): 8.147 8.147 8.140 109.02 109.01 110.42
Sites, in units of the cell vectors:
Tm 0.883 0.691 0.192
Tm 0.309 0.117 0.808
Tm 0.941 0.633 0.692
Tm 0.309 0.501 0.192
Tm 0.499 0.691 0.808
Tm 0.367 0.059 0.308
Tm 0.751 0.059 0.692
Tm 0.941 0.249 0.308
Sb 0.125 0.375 0.750
Sb 0.625 0.375 0.250
Sb 0.625 0.375 0.750
Sb 0.625 0.875 0.250
Al 0.250 0.750 0.500
Al 0.000 0.000 0.000

Values from the calculation:
- Total energy: -4.79 eV per atom
- DOS at the Fermi energy: 5.424 states/eV/f.u.
- Uncorrected formation energy: -0.519 eV per atom
- Space group: No. 141
- V: 207.8 Å³/f.u.